The following is a DFT calculation (GGA-PBE) of a relaxed structure of SmInGa2Ni5.

* mass density: 8.16 g/cm³
* E_tot: -43.2 eV for the cell shown
* calculated volume: 142.07 Å³/f.u.

a = 4.324 Å, b = 4.324 Å, c = 7.600 Å
α = 90.00°, β = 90.00°, γ = 90.00°
Space group P4/mmm (No. 123)
Asymmetric unit:
Sm (0.000, 0.000, 0.000)
In (0.000, 0.000, 0.500)
Ga (0.500, 0.500, 0.338)
Ni (0.000, 0.500, 0.225)
Ni (0.500, 0.500, 0.000)

The following is a DFT calculation (GGA-PBE) of a relaxed structure of Sm2InGa3Ni4.

* mass density: 8.09 g/cm³
* E_tot: -49.3 eV for the cell shown
* calculated volume: 176.47 Å³/f.u.

a = 4.136 Å, b = 4.136 Å, c = 10.316 Å
α = 90.00°, β = 90.00°, γ = 90.00°
Space group P-4m2 (No. 115)
Asymmetric unit:
Sm (0.000, 0.500, 0.238)
In (0.000, 0.000, 0.500)
Ga (0.000, 0.500, 0.880)
Ga (0.500, 0.500, 0.500)
Ni (0.000, 0.000, 0.000)
Ni (0.000, 0.500, 0.649)
Ni (0.500, 0.500, 0.000)

The following is a DFT calculation (GGA-PBE) of a relaxed structure of InGaNiSn2.

* mass density: 6.66 g/cm³
* E_tot: -19.6 eV for the cell shown
* calculated volume: 119.78 Å³/f.u.

a = 5.108 Å, b = 5.108 Å, c = 4.591 Å
α = 90.00°, β = 90.00°, γ = 90.00°
Space group P4/mmm (No. 123)
Asymmetric unit:
In (0.000, 0.000, 0.000)
Ga (0.500, 0.500, 0.000)
Ni (0.500, 0.500, 0.500)
Sn (0.000, 0.500, 0.500)

- Which of these has the highest calculated volume?
  Sm2InGa3Ni4